{"formula": "Na2TlSb2", "functional": "PBE-GGA", "state": "optimized geometry", "vol_a3_per_cell": 298, "n_ef_per_ev_cell": 4.798, "sg": "C2/c", "relative_energy_ev_per_atom": 0.000, "e_form_raw_ev_per_fu": -1.10, "lattice": [[5.820, -2.947, 0.000], [5.820, 2.947, 0.000], [-3.602, 0.000, 8.693]], "species": ["Na", "Na", "Na", "Na", "Tl", "Tl", "Sb", "Sb", "Sb", "Sb"], "frac_coords": [[0.001, 0.675, 0.850], [0.325, 0.999, 0.650], [0.675, 0.001, 0.350], [0.999, 0.325, 0.150], [0.248, 0.752, 0.250], [0.752, 0.248, 0.750], [0.207, 0.529, 0.516], [0.471, 0.793, 0.984], [0.529, 0.207, 0.016], [0.793, 0.471, 0.484]]}